# LiGaSbRh

A relaxed LiGaSbRh crystal (PBE, Alexandria via LeMat-Bulk).

Cell: 4.5245 4.5245 4.5245 Å, 60.00 60.00 60.00°
Element x y z (fractional)
Ga 0.2500 0.2500 0.2500
Sb 0.7500 0.7500 0.7500
Rh 0.0000 0.0000 0.0000
Li 0.5000 0.5000 0.5000

Final energy: -18.1 eV for the cell shown
DOS at the Fermi energy: 2.4 states/eV per cell
Calculated density: 7.640 Mg/m³
Energy relative to the elements, uncorrected: -1.648 eV/f.u.



# LiGaSiRh

A relaxed LiGaSiRh crystal (PBE, Alexandria via LeMat-Bulk).

Cell: 4.2312 4.2312 4.2312 Å, 60.00 60.00 60.00°
Element x y z (fractional)
Rh 0.0000 0.0000 0.0000
Li 0.5000 0.5000 0.5000
Si 0.7500 0.7500 0.7500
Ga 0.2500 0.2500 0.2500

Final energy: -19.7 eV for the cell shown
DOS at the Fermi energy: 0.3 states/eV per cell
Calculated density: 6.438 Mg/m³
Energy relative to the elements, uncorrected: -2.030 eV/f.u.



# LiSm2Ga2Rh5

A relaxed LiSm2Ga2Rh5 crystal (PBE, Alexandria via LeMat-Bulk).

Cell: 3.5260 9.8966 9.8966 Å, 90.00 90.00 90.00°
Element x y z (fractional)
Sm 0.0000 0.6738 0.1738
Sm 0.0000 0.8262 0.6738
Sm 0.0000 0.3262 0.8262
Sm 0.0000 0.1738 0.3262
Rh 0.5000 0.5656 0.7031
Rh 0.5000 0.9344 0.2031
Rh 0.5000 0.5000 0.0000
Rh 0.5000 0.2969 0.5656
Rh 0.5000 0.0000 0.5000
Rh 0.5000 0.4344 0.2969
Rh 0.5000 0.0656 0.7969
Rh 0.5000 0.2031 0.0656
Rh 0.5000 0.7969 0.9344
Rh 0.5000 0.7031 0.4344
Ga 0.0000 0.3743 0.1257
Ga 0.0000 0.6257 0.8743
Ga 0.0000 0.1257 0.6257
Ga 0.0000 0.8743 0.3743
Li 0.0000 0.5000 0.5000
Li 0.0000 0.0000 0.0000

Final energy: -120.4 eV for the cell shown
DOS at the Fermi energy: 7.1 states/eV per cell
ΔH_f (0 K): -6.060 eV per formula unit
Calculated density: 9.248 Mg/m³



# Sr2LiGaRh

A relaxed Sr2LiGaRh crystal (PBE, Alexandria via LeMat-Bulk).

Cell: 5.8100 5.8100 4.8625 Å, 90.00 90.00 90.00°
Element x y z (fractional)
Li 0.5000 0.5000 0.5000
Sr 0.0000 0.5000 0.0000
Sr 0.5000 0.0000 0.0000
Ga 0.0000 0.0000 0.5000
Rh 0.0000 0.0000 0.0000

Final energy: -16.8 eV for the cell shown
DOS at the Fermi energy: 2.9 states/eV per cell
ΔH_f (0 K): -1.098 eV per formula unit
Calculated density: 3.589 Mg/m³



# Sr2LiGaRh2

A relaxed Sr2LiGaRh2 crystal (PBE, Alexandria via LeMat-Bulk).

Cell: 5.9995 6.2043 8.5135 Å, 111.37 110.63 90.00°
Element x y z (fractional)
Sr 0.4124 0.1667 0.3334
Sr 0.9210 0.6667 0.3334
Sr 0.5876 0.8333 0.6666
Sr 0.0790 0.3333 0.6666
Rh 0.3721 0.5997 0.1995
Rh 0.8273 0.0997 0.1995
Rh 0.6279 0.4003 0.8005
Rh 0.1727 0.9003 0.8005
Ga 0.5000 0.2500 0.0000
Ga 0.5000 0.7500 0.0000
Li 0.0000 0.2500 0.0000
Li 0.0000 0.7500 0.0000

Final energy: -50.5 eV for the cell shown
DOS at the Fermi energy: 5.7 states/eV per cell
ΔH_f (0 K): -2.254 eV per formula unit
Calculated density: 5.565 Mg/m³



# SrLi2GaRh2

A relaxed SrLi2GaRh2 crystal (PBE, Alexandria via LeMat-Bulk).

Cell: 4.7028 4.7028 5.9690 Å, 90.00 90.00 90.00°
Element x y z (fractional)
Rh 0.5000 0.0000 0.0000
Rh 0.0000 0.5000 0.0000
Sr 0.0000 0.0000 0.5000
Li 0.5000 0.5000 0.7892
Li 0.5000 0.5000 0.2108
Ga 0.0000 0.0000 0.0000

Final energy: -24.5 eV for the cell shown
DOS at the Fermi energy: 1.9 states/eV per cell
ΔH_f (0 K): -1.221 eV per formula unit
Calculated density: 4.743 Mg/m³



# SrLiGa2Rh

A relaxed SrLiGa2Rh crystal (PBE, Alexandria via LeMat-Bulk).

Cell: 4.7943 4.7943 4.8840 Å, 90.00 90.00 90.00°
Element x y z (fractional)
Rh 0.0000 0.0000 0.0000
Ga 0.5000 0.0000 0.0000
Ga 0.0000 0.5000 0.0000
Sr 0.5000 0.5000 0.5000
Li 0.0000 0.0000 0.5000

Final energy: -19.2 eV for the cell shown
DOS at the Fermi energy: 2.7 states/eV per cell
ΔH_f (0 K): -2.199 eV per formula unit
Calculated density: 4.984 Mg/m³



# LiTa2GaRh

A relaxed LiTa2GaRh crystal (PBE, Alexandria via LeMat-Bulk).

Cell: 4.8561 4.7059 4.8561 Å, 90.00 90.00 90.00°
Element x y z (fractional)
Rh 0.0000 0.0000 0.0000
Ta 0.0000 0.0000 0.5000
Ta 0.5000 0.0000 0.0000
Ga 0.0000 0.5000 0.0000
Li 0.5000 0.5000 0.5000

Final energy: -31.8 eV for the cell shown
DOS at the Fermi energy: 7.2 states/eV per cell
ΔH_f (0 K): 4.207 eV per formula unit
Calculated density: 8.102 Mg/m³



# LiTbGaRh

A relaxed LiTbGaRh crystal (PBE, Alexandria via LeMat-Bulk).

Cell: 4.6233 4.6233 4.6233 Å, 60.00 60.00 60.00°
Element x y z (fractional)
Rh 0.0000 0.0000 0.0000
Ga 0.2500 0.2500 0.2500
Li 0.5000 0.5000 0.5000
Tb 0.7500 0.7500 0.7500

Final energy: -19.2 eV for the cell shown
DOS at the Fermi energy: 4.0 states/eV per cell
ΔH_f (0 K): -2.245 eV per formula unit
Calculated density: 8.044 Mg/m³



# LiGa2TeRh

A relaxed LiGa2TeRh crystal (PBE, Alexandria via LeMat-Bulk).

Cell: 4.7593 4.9689 4.7593 Å, 90.00 90.00 90.00°
Element x y z (fractional)
Ga 0.5000 0.0000 0.0000
Ga 0.0000 0.0000 0.5000
Rh 0.0000 0.0000 0.0000
Li 0.0000 0.5000 0.0000
Te 0.5000 0.5000 0.5000

Final energy: -19.4 eV for the cell shown
DOS at the Fermi energy: 2.4 states/eV per cell
Calculated density: 5.561 Mg/m³
Energy relative to the elements, uncorrected: -0.910 eV/f.u.



# Li2GaTeRh

A relaxed Li2GaTeRh crystal (PBE, Alexandria via LeMat-Bulk).

Cell: 4.6817 4.5899 4.6817 Å, 90.00 90.00 90.00°
Element x y z (fractional)
Li 0.5000 0.0000 0.0000
Li 0.0000 0.0000 0.5000
Te 0.5000 0.5000 0.5000
Ga 0.0000 0.0000 0.0000
Rh 0.0000 0.5000 0.0000

Final energy: -17.6 eV for the cell shown
DOS at the Fermi energy: 1.4 states/eV per cell
Calculated density: 5.185 Mg/m³
Energy relative to the elements, uncorrected: -0.237 eV/f.u.



# LiTlGaRh

A relaxed LiTlGaRh crystal (PBE, Alexandria via LeMat-Bulk).

Cell: 4.5540 4.5540 4.5540 Å, 60.00 60.00 60.00°
Element x y z (fractional)
Tl 0.7500 0.7500 0.7500
Rh 0.5000 0.5000 0.5000
Li 0.0000 0.0000 0.0000
Ga 0.2500 0.2500 0.2500

Final energy: -15.7 eV for the cell shown
DOS at the Fermi energy: 2.0 states/eV per cell
ΔH_f (0 K): -1.039 eV per formula unit
Calculated density: 9.547 Mg/m³



The highest calculated density belongs to which entry?
LiTlGaRh



The lowest final energy belongs to which entry?
LiSm2Ga2Rh5



Which formula does entry 6 have?
SrLi2GaRh2